1.
# Mg2Zn (PBE, optimized geometry)
data_Mg2Zn
_chemical_formula_sum 'Mg4 Zn2'
_space_group_name_H-M_alt 'P 1'
_space_group_IT_number 1
_cell_length_a 4.783
_cell_length_b 4.783
_cell_length_c 5.928
_cell_angle_alpha 90.00
_cell_angle_beta 90.00
_cell_angle_gamma 120.00
loop_
_space_group_symop_operation_xyz
'x,y,z'
loop_
_atom_site_label
_atom_site_fract_x
_atom_site_fract_y
_atom_site_fract_z
Mg1 0.000 0.000 0.000
Mg2 0.000 0.000 0.500
Mg3 0.333 0.667 0.250
Mg4 0.667 0.333 0.750
Zn1 0.333 0.667 0.750
Zn2 0.667 0.333 0.250
# symmetry = No. 194
# E = -1.54 eV per atom
# V = 117 Å³ per cell
# formation enthalpy at 0 K = -0.05 eV per atom

2.
# Dy2Er5Th (PBE, optimized geometry)
data_Dy2Er5Th
_chemical_formula_sum 'Dy4 Er10 Th2'
_space_group_name_H-M_alt 'P 1'
_space_group_IT_number 1
_cell_length_a 7.049
_cell_length_b 14.121
_cell_length_c 4.993
_cell_angle_alpha 90.00
_cell_angle_beta 90.00
_cell_angle_gamma 90.00
loop_
_space_group_symop_operation_xyz
'x,y,z'
loop_
_atom_site_label
_atom_site_fract_x
_atom_site_fract_y
_atom_site_fract_z
Dy1 0.247 0.123 0.000
Dy2 0.253 0.623 0.000
Dy3 0.747 0.377 0.000
Dy4 0.753 0.877 0.000
Er1 0.000 0.500 0.500
Er2 0.002 0.249 0.500
Er3 0.244 0.877 0.000
Er4 0.256 0.377 0.000
Er5 0.498 0.749 0.500
Er6 0.500 0.000 0.500
Er7 0.502 0.251 0.500
Er8 0.744 0.623 0.000
Er9 0.756 0.123 0.000
Er10 0.998 0.751 0.500
Th1 0.000 0.000 0.500
Th2 0.500 0.500 0.500
# symmetry = No. 55
# E = -4.90 eV per atom
# V = 497 Å³ per cell
# formation enthalpy at 0 K = 0.03 eV per atom